(1)
This record from Alexandria via LeMat-Bulk describes a geometry-optimized Mg2CdNi structure. The functional is GGA-PBE.

Results
Space-group type: No. 119
Calculated formation energy, eV/atom: -0.08

Cell: 5.1419 5.1419 5.1419 Å, 133.87 133.87 67.30°
Atoms (fractional coordinates):
Mg1 0.0000 0.0000 0.0000
Mg2 0.7500 0.2500 0.5000
Cd1 0.5000 0.5000 0.0000
Ni1 0.2500 0.7500 0.5000

---

(2)
This record from Alexandria via LeMat-Bulk describes a geometry-optimized PPbN2 structure. The functional is GGA-PBE.

Results
Space-group type: No. 166
Energy relative to the lowest polymorph listed for this composition, eV/atom: 0.242
Raw formation energy, kJ/mol of formula units: 156

Cell: 7.1755 7.1755 7.1755 Å, 23.47 23.47 23.47°
Atoms (fractional coordinates):
P1 0.0000 0.0000 0.0000
Pb1 0.5000 0.5000 0.5000
N1 0.3768 0.3768 0.3768
N2 0.6232 0.6232 0.6232

---

(3)
This record from Alexandria via LeMat-Bulk describes a geometry-optimized SrPmSb2 structure. The functional is GGA-PBE.

Results
Space-group type: No. 160
Energy relative to the lowest polymorph listed for this composition, eV/atom: 0.082
Raw formation energy, kJ/mol of formula units: -341

Cell: 7.9065 7.9065 7.9065 Å, 34.91 34.91 34.91°
Atoms (fractional coordinates):
Sr1 0.0000 0.0000 0.0000
Pm1 0.1732 0.1732 0.1732
Sb1 0.4274 0.4274 0.4274
Sb2 0.5785 0.5785 0.5785

---

(4)
This record from Alexandria via LeMat-Bulk describes a geometry-optimized Hf3VN structure. The functional is GGA-PBE.

Results
Space-group type: No. 221
Energy relative to the lowest polymorph listed for this composition, eV/atom: 2.256
Raw formation energy, kJ/mol of formula units: 790

Cell: 4.7582 4.7582 4.7582 Å, 90.00 90.00 90.00°
Atoms (fractional coordinates):
Hf1 0.0000 0.0000 0.5000
Hf2 0.0000 0.5000 0.0000
Hf3 0.5000 0.0000 0.0000
V1 0.0000 0.0000 0.0000
N1 0.5000 0.5000 0.5000

---

(5)
This record from Alexandria via LeMat-Bulk describes a geometry-optimized La2TbPaSb4 structure. The functional is GGA-PBE.

Results
Space-group type: No. 10
Raw formation energy, kJ/mol of formula units: -799

Cell: 7.7656 4.4931 7.8267 Å, 90.00 109.31 90.00°
Atoms (fractional coordinates):
La1 0.0000 0.0000 0.0000
La2 0.5000 0.5000 0.0000
Tb1 0.0000 0.5000 0.5000
Pa1 0.5000 0.0000 0.5000
Sb1 0.2478 0.0000 0.7353
Sb2 0.2563 0.5000 0.2650
Sb3 0.7437 0.5000 0.7350
Sb4 0.7522 0.0000 0.2647

---

(6)
This record from Alexandria via LeMat-Bulk describes a geometry-optimized FeHg2Sb structure. The functional is GGA-PBE.

Results
Space-group type: No. 44
Raw formation energy, kJ/mol of formula units: 105

Cell: 7.0945 7.0945 7.0945 Å, 155.81 140.99 46.43°
Atoms (fractional coordinates):
Fe1 0.0000 0.0000 0.0000
Hg1 0.1825 0.6825 0.5000
Hg2 0.5108 0.5108 0.0000
Sb1 0.8287 0.3287 0.5000

---

(7)
This record from Alexandria via LeMat-Bulk describes a geometry-optimized CaAcSbSe structure. The functional is GGA-PBE.

Results
Space-group type: No. 160
Raw formation energy, kJ/mol of formula units: -587

Cell: 7.7470 7.7470 7.7470 Å, 34.56 34.56 34.56°
Atoms (fractional coordinates):
Ca1 0.0000 0.0000 0.0000
Ac1 0.4984 0.4984 0.4984
Sb1 0.2537 0.2537 0.2537
Se1 0.7476 0.7476 0.7476

---

(8)
This record from Alexandria via LeMat-Bulk describes a geometry-optimized ReNi2Os structure. The functional is GGA-PBE.

Results
Space-group type: No. 122
Energy relative to the lowest polymorph listed for this composition, eV/atom: 1.581
Calculated formation energy, eV/atom: 1.59

Cell: 6.4187 6.4187 6.4187 Å, 131.61 131.61 70.84°
Atoms (fractional coordinates):
Re1 0.0000 0.0000 0.0000
Re2 0.7500 0.2500 0.5000
Ni1 0.1271 0.6250 0.0021
Ni2 0.3750 0.3771 0.5021
Ni3 0.6229 0.1250 0.9979
Ni4 0.8750 0.8729 0.4979
Os1 0.2500 0.7500 0.5000
Os2 0.5000 0.5000 0.0000

---

(9)
This record from Alexandria via LeMat-Bulk describes a geometry-optimized CePuPd3 structure. The functional is GGA-PBE.

Results
Space-group type: No. 166
Calculated formation energy, eV/atom: -0.46

Cell: 8.5427 8.5427 8.5427 Å, 37.98 37.98 37.98°
Atoms (fractional coordinates):
Ce1 0.1916 0.1916 0.1916
Ce2 0.8084 0.8084 0.8084
Pu1 0.3105 0.3105 0.3105
Pu2 0.6895 0.6895 0.6895
Pd1 0.2490 0.7496 0.7496
Pd2 0.2504 0.2504 0.7510
Pd3 0.2504 0.7510 0.2504
Pd4 0.7496 0.2490 0.7496
Pd5 0.7496 0.7496 0.2490
Pd6 0.7510 0.2504 0.2504

---

(10)
This record from Alexandria via LeMat-Bulk describes a geometry-optimized ZnInCl structure. The functional is GGA-PBE.

Results
Space-group type: No. 38
Energy relative to the lowest polymorph listed for this composition, eV/atom: 0.004
Raw formation energy, kJ/mol of formula units: -94

Cell: 15.6419 3.3785 3.3785 Å, 60.12 90.00 90.00°
Atoms (fractional coordinates):
Zn1 0.0000 0.0000 0.0000
Zn2 0.5000 0.2190 0.2190
In1 0.3522 0.8854 0.8854
In2 0.6478 0.8854 0.8854
Cl1 0.0992 0.3337 0.3337
Cl2 0.9008 0.3337 0.3337

---

(11)
This record from Alexandria via LeMat-Bulk describes a geometry-optimized KOsPb2 structure. The functional is GGA-PBE.

Results
Space-group type: No. 123
Energy relative to the lowest polymorph listed for this composition, eV/atom: 0.000
Calculated formation energy, eV/atom: 0.37

Cell: 3.3879 3.3879 8.9417 Å, 90.00 90.00 90.00°
Atoms (fractional coordinates):
K1 0.0000 0.0000 0.0000
Os1 0.0000 0.0000 0.5000
Pb1 0.5000 0.5000 0.3103
Pb2 0.5000 0.5000 0.6897

---

(12)
This record from Alexandria via LeMat-Bulk describes a geometry-optimized LiNiBPd2 structure. The functional is GGA-PBE.

Results
Space-group type: No. 123
Calculated formation energy, eV/atom: -0.28

Cell: 4.1558 4.1558 3.8319 Å, 90.00 90.00 90.00°
Atoms (fractional coordinates):
Li1 0.0000 0.0000 0.0000
Ni1 0.5000 0.5000 0.0000
B1 0.5000 0.5000 0.5000
Pd1 0.0000 0.5000 0.5000
Pd2 0.5000 0.0000 0.5000